[1]
A plane-wave DFT calculation with GGA-PBE was carried out for a relaxed structure of MgVP2Br.

- uncorrected energy (eV per atom) = -3.637
- crystal system = tetragonal
- ΔE_f (raw) (eV/atom) = 1.004

POSCAR file:
```
MgVP2Br
1.0
4.7349 0.0000 0.0000
0.0000 5.1107 0.0000
0.0000 0.0000 4.7349
Mg Br P V
1 1 2 1
Cartesian
0.0000 0.0000 0.0000
0.0000 2.5553 0.0000
0.0000 0.0000 2.3675
2.3675 0.0000 0.0000
2.3675 2.5553 2.3675
```

---

[2]
A plane-wave DFT calculation with GGA-PBE was carried out for a relaxed structure of CaSiTc.

- uncorrected energy (eV per atom) = -6.141
- energy above the lowest structure with this stoichiometry (eV per atom) = 0.185
- crystal system = tetragonal
- ΔE_f (raw) (eV/atom) = -0.211

POSCAR file:
```
CaSiTc
1.0
5.7357 -0.0025 0.0026
4.7796 3.1707 0.0026
0.9561 0.2881 3.1601
Tc Ca Si
1 1 1
Cartesian
7.7949 2.3486 0.9030
0.9579 0.2886 3.1595
3.6747 1.1072 2.2628
```

---

[3]
A plane-wave DFT calculation with GGA-PBE was carried out for a relaxed structure of Mg2TlZnI.

- uncorrected energy (eV per atom) = -1.098
- crystal system = tetragonal
- ΔE_f (raw) (eV/atom) = 0.578

POSCAR file:
```
Mg2TlZnI
1.0
-5.4785 -1.0029 1.6980
2.1763 -2.1329 5.7617
-0.3309 5.4098 2.1277
Mg Tl Zn I
2 1 1 1
Cartesian
-2.7392 -0.5015 0.8490
-0.1654 2.7049 1.0638
1.0881 -1.0665 2.8808
-1.8165 1.1370 4.7937
0.0000 0.0000 0.0000
```